Entry 1:
A plane-wave DFT calculation with PBE-GGA was carried out for Zr2SnH2 after structural relaxation.

Geometry as POSCAR:
```
Zr2SnH2
1.0
-2.2177 0.7050 3.0561
-2.7064 -2.3217 -1.4283
-0.4596 -4.5704 3.1348
H Zr Sn
2 2 1
direct
0.7500 0.2500 0.5000
0.2500 0.7500 0.5000
0.3346 0.3346 0.3308
0.6654 0.6654 0.6692
0.0000 0.0000 0.0000
```

Space group: I4/mmm
Crystal system: tetragonal
Raw total energy, eV for the cell shown: -30.30

Entry 2:
A plane-wave DFT calculation with PBE-GGA was carried out for MgCo2Si after structural relaxation.

Geometry as POSCAR:
```
MgCo2Si
1.0
-3.0980 -2.5146 -0.8936
1.5946 -1.3415 -1.7535
2.1096 -3.4761 2.4681
Si Co Mg
1 2 1
direct
0.5000 0.9209 0.7833
0.5000 0.2028 0.2200
0.0000 0.8177 0.9893
0.0000 0.5585 0.5074
```

Space group: Amm2
Crystal system: orthorhombic
Raw total energy, eV for the cell shown: -21.45

Entry 3:
A plane-wave DFT calculation with PBE-GGA was carried out for RbPr2Tm after structural relaxation.

Geometry as POSCAR:
```
RbPr2Tm
1.0
3.7008 0.0000 0.0000
1.8504 3.2050 0.0000
1.8504 1.0683 13.5475
Pr Rb Tm
2 1 1
direct
0.0969 0.0969 0.7092
0.9031 0.9031 0.2908
0.0000 0.0000 0.0000
0.5000 0.5000 0.5000
```

Space group: R-3m
Crystal system: trigonal
Raw total energy, eV for the cell shown: -14.04
Calculated formation energy, eV per atom: 0.24